Model one:
DFT (PBE) results for NdGa3Ni3 after structural relaxation.

Cell: 7.383 7.383 7.383 Å, 51.86 51.86 51.86°
Atoms (fractional coordinates):
Nd: 0.158 0.158 0.158
Nd: 0.842 0.842 0.842
Ga: 0.055 0.232 0.589
Ga: 0.232 0.589 0.055
Ga: 0.411 0.945 0.768
Ga: 0.589 0.055 0.232
Ga: 0.768 0.411 0.945
Ga: 0.945 0.768 0.411
Ni: 0.205 0.411 0.651
Ni: 0.349 0.795 0.589
Ni: 0.411 0.651 0.205
Ni: 0.589 0.349 0.795
Ni: 0.651 0.205 0.411
Ni: 0.795 0.589 0.349

The space group is No. 148. For the density of states at the Fermi level, the calculation gives 4.44 states/eV/cell. The total moment is 0.00 μB/atom.


Model two:
DFT (PBE) results for NdGa3Ni3 after structural relaxation.

Cell: 6.452 6.452 6.452 Å, 90.00 90.00 90.00°
Atoms (fractional coordinates):
Nd: 0.000 0.000 0.000
Nd: 0.500 0.500 0.500
Ga: 0.000 0.250 0.500
Ga: 0.000 0.750 0.500
Ga: 0.250 0.500 0.000
Ga: 0.500 0.000 0.250
Ga: 0.500 0.000 0.750
Ga: 0.750 0.500 0.000
Ni: 0.000 0.500 0.250
Ni: 0.000 0.500 0.750
Ni: 0.250 0.000 0.500
Ni: 0.500 0.250 0.000
Ni: 0.500 0.750 0.000
Ni: 0.750 0.000 0.500

The space group is No. 223. For the density of states at the Fermi level, the calculation gives 11.25 states/eV/cell. The total moment is 0.00 μB/atom.


Name the least stable of them. model two.


Model one:
DFT (PBE) results for Nd3GaNi2 after structural relaxation.

Cell: 6.806 6.806 6.806 Å, 75.87 75.87 75.87°
Atoms (fractional coordinates):
Nd: 0.068 0.750 0.432
Nd: 0.250 0.568 0.932
Nd: 0.432 0.068 0.750
Nd: 0.568 0.932 0.250
Nd: 0.750 0.432 0.068
Nd: 0.932 0.250 0.568
Ga: 0.000 0.000 0.000
Ga: 0.500 0.500 0.500
Ni: 0.166 0.166 0.166
Ni: 0.334 0.334 0.334
Ni: 0.666 0.666 0.666
Ni: 0.834 0.834 0.834

The space group is No. 167. For the density of states at the Fermi level, the calculation gives 12.93 states/eV/cell. The total moment is 0.00 μB/atom.


Model two:
DFT (PBE) results for Nd3GaNi2 after structural relaxation.

Cell: 5.706 11.615 9.175 Å, 90.00 109.94 90.00°
Atoms (fractional coordinates):
Nd: 0.160 0.233 0.318
Nd: 0.160 0.267 0.818
Nd: 0.237 0.596 0.995
Nd: 0.237 0.904 0.495
Nd: 0.303 0.553 0.607
Nd: 0.303 0.947 0.107
Nd: 0.697 0.053 0.893
Nd: 0.697 0.447 0.393
Nd: 0.763 0.096 0.505
Nd: 0.763 0.404 0.005
Nd: 0.840 0.733 0.182
Nd: 0.840 0.767 0.682
Ga: 0.426 0.693 0.340
Ga: 0.426 0.807 0.840
Ga: 0.574 0.193 0.160
Ga: 0.574 0.307 0.660
Ni: 0.164 0.505 0.280
Ni: 0.164 0.995 0.780
Ni: 0.320 0.131 0.615
Ni: 0.320 0.369 0.115
Ni: 0.680 0.631 0.885
Ni: 0.680 0.869 0.385
Ni: 0.836 0.005 0.220
Ni: 0.836 0.495 0.720

The space group is No. 14. For the density of states at the Fermi level, the calculation gives 25.03 states/eV/cell. The total moment is 0.00 μB/atom.


Name the least stable of them. model one.


Model one:
DFT (PBE) results for Nd2Ga2Ni3 after structural relaxation.

Cell: 10.800 3.860 6.761 Å, 90.00 114.61 90.00°
Atoms (fractional coordinates):
Nd: 0.129 0.000 0.266
Nd: 0.371 0.500 0.734
Nd: 0.629 0.500 0.266
Nd: 0.871 0.000 0.734
Ga: 0.154 0.000 0.752
Ga: 0.346 0.500 0.248
Ga: 0.654 0.500 0.752
Ga: 0.846 0.000 0.248
Ni: 0.000 0.500 0.500
Ni: 0.105 0.500 0.928
Ni: 0.395 0.000 0.072
Ni: 0.500 0.000 0.500
Ni: 0.605 0.000 0.928
Ni: 0.895 0.500 0.072

The space group is No. 12. For the density of states at the Fermi level, the calculation gives 13.24 states/eV/cell. The total moment is 0.00 μB/atom.


Model two:
DFT (PBE) results for Nd2Ga2Ni3 after structural relaxation.

Cell: 9.273 9.273 6.956 Å, 90.00 90.00 154.53°
Atoms (fractional coordinates):
Nd: 0.059 0.941 0.750
Nd: 0.150 0.850 0.250
Nd: 0.850 0.150 0.750
Nd: 0.941 0.059 0.250
Ga: 0.310 0.690 0.059
Ga: 0.310 0.690 0.441
Ga: 0.690 0.310 0.559
Ga: 0.690 0.310 0.941
Ni: 0.226 0.774 0.750
Ni: 0.442 0.558 0.573
Ni: 0.442 0.558 0.927
Ni: 0.558 0.442 0.073
Ni: 0.558 0.442 0.427
Ni: 0.774 0.226 0.250

The space group is No. 63. For the density of states at the Fermi level, the calculation gives 10.40 states/eV/cell. The total moment is 0.00 μB/atom.


Name the least stable of them. model one.